No. 1
# ScIrRu | Alexandria via LeMat-Bulk | PBE-GGA | relaxed
data_ScIrRu
_cell_length_a 2.8367
_cell_length_b 2.8367
_cell_length_c 12.0113
_cell_angle_alpha 90.00
_cell_angle_beta 90.00
_cell_angle_gamma 90.00
_space_group_name_H-M_alt 'I 4 m m'
_space_group_IT_number 107
_space_group_name_Hall 'I 4 -2'
loop_
_atom_site_label
_atom_site_type_symbol
_atom_site_fract_x
_atom_site_fract_y
_atom_site_fract_z
Sc1 Sc 0.0000 0.0000 0.0000
Ir1 Ir 0.0000 0.0000 0.6776
Ru1 Ru 0.0000 0.0000 0.3210
# Formation energy from the elements ... -0.9 eV/f.u.
# Size of the total moment ... 0.000 μB per formula unit

***

No. 2
# Sc2IrRu | Alexandria via LeMat-Bulk | PBE-GGA | relaxed
data_Sc2IrRu
_cell_length_a 2.9677
_cell_length_b 2.9677
_cell_length_c 8.4138
_cell_angle_alpha 90.00
_cell_angle_beta 90.00
_cell_angle_gamma 90.00
_space_group_name_H-M_alt 'P 4 m m'
_space_group_IT_number 99
_space_group_name_Hall 'P 4 -2'
loop_
_atom_site_label
_atom_site_type_symbol
_atom_site_fract_x
_atom_site_fract_y
_atom_site_fract_z
Sc1 Sc 0.0000 0.0000 0.0000
Sc2 Sc 0.5000 0.5000 0.3577
Ir1 Ir 0.0000 0.0000 0.5716
Ru1 Ru 0.5000 0.5000 0.7842
# Formation energy from the elements ... -0.8 eV/f.u.
# Size of the total moment ... 0.002 μB per formula unit

***

Which value of formation energy from the elements does entry 2 give? -0.8 eV/f.u.

***

Number 2 is which compound? Sc2IrRu